1.
# KIn12Hg6 | Alexandria | GGA-PBE | relaxed
data_KIn12Hg6
_chemical_formula_sum 'K1 In12 Hg6'
_cell_length_a 9.2202
_cell_length_b 9.2202
_cell_length_c 9.2202
_cell_angle_alpha 109.46
_cell_angle_beta 109.46
_cell_angle_gamma 109.46
_symmetry_space_group_name_H-M 'P 1'
_symmetry_Int_Tables_number 1
_symmetry_space_group_name_Hall 'P 1'
loop_
_atom_site_label
_atom_site_type_symbol
_atom_site_fract_x
_atom_site_fract_y
_atom_site_fract_z
K1 K 0.0000 0.0000 0.0000
In1 In 0.1538 0.5000 0.8462
In2 In 0.1538 0.8462 0.5000
In3 In 0.1716 0.4984 0.4984
In4 In 0.4984 0.1716 0.4984
In5 In 0.4984 0.4984 0.1716
In6 In 0.5000 0.1538 0.8462
In7 In 0.5000 0.8462 0.1538
In8 In 0.5016 0.5016 0.8284
In9 In 0.5016 0.8284 0.5016
In10 In 0.8284 0.5016 0.5016
In11 In 0.8462 0.1538 0.5000
In12 In 0.8462 0.5000 0.1538
Hg1 Hg 0.1579 0.1579 0.4597
Hg2 Hg 0.1579 0.4597 0.1579
Hg3 Hg 0.4597 0.1579 0.1579
Hg4 Hg 0.5403 0.8421 0.8421
Hg5 Hg 0.8421 0.5403 0.8421
Hg6 Hg 0.8421 0.8421 0.5403
# * total DFT energy (no corrections): -34.959 eV/cell
# * total magnetic moment: 0.00 μB per cell
# * E above lowest polymorph: 30.4 meV/atom

2.
# Np3SbC | Alexandria | GGA-PBE | relaxed
data_Np3SbC
_chemical_formula_sum 'Np3 Sb1 C1'
_cell_length_a 4.7682
_cell_length_b 4.7682
_cell_length_c 4.7682
_cell_angle_alpha 90.00
_cell_angle_beta 90.00
_cell_angle_gamma 90.00
_symmetry_space_group_name_H-M 'P 1'
_symmetry_Int_Tables_number 1
_symmetry_space_group_name_Hall 'P 1'
loop_
_atom_site_label
_atom_site_type_symbol
_atom_site_fract_x
_atom_site_fract_y
_atom_site_fract_z
Np1 Np 0.0000 0.0000 0.5000
Np2 Np 0.0000 0.5000 0.0000
Np3 Np 0.5000 0.0000 0.0000
Sb1 Sb 0.5000 0.5000 0.5000
C1 C 0.0000 0.0000 0.0000
# * total DFT energy (no corrections): -52.165 eV/cell
# * total magnetic moment: 11.75 μB per cell
# * formation energy without anion corrections: 0.001 eV per atom

3.
# ScTiMn2Cl | Alexandria | GGA-PBE | relaxed
data_ScTiMn2Cl
_chemical_formula_sum 'Sc1 Ti1 Mn2 Cl1'
_cell_length_a 4.1857
_cell_length_b 4.1857
_cell_length_c 4.4038
_cell_angle_alpha 90.00
_cell_angle_beta 90.00
_cell_angle_gamma 90.00
_symmetry_space_group_name_H-M 'P 1'
_symmetry_Int_Tables_number 1
_symmetry_space_group_name_Hall 'P 1'
loop_
_atom_site_label
_atom_site_type_symbol
_atom_site_fract_x
_atom_site_fract_y
_atom_site_fract_z
Sc1 Sc 0.0000 0.0000 0.0000
Ti1 Ti 0.5000 0.5000 0.0000
Mn1 Mn 0.0000 0.5000 0.5000
Mn2 Mn 0.5000 0.0000 0.5000
Cl1 Cl 0.5000 0.5000 0.5000
# * total DFT energy (no corrections): -32.540 eV/cell
# * total magnetic moment: 0.00 μB per cell
# * E above lowest polymorph: 0.0 meV/atom
# * formation energy without anion corrections: 0.374 eV per atom

4.
# Cs2P2Cl | Alexandria | GGA-PBE | relaxed
data_Cs2P2Cl
_chemical_formula_sum 'Cs4 P4 Cl2'
_cell_length_a 9.4362
_cell_length_b 9.4362
_cell_length_c 4.5200
_cell_angle_alpha 90.00
_cell_angle_beta 90.00
_cell_angle_gamma 90.00
_symmetry_space_group_name_H-M 'P 1'
_symmetry_Int_Tables_number 1
_symmetry_space_group_name_Hall 'P 1'
loop_
_atom_site_label
_atom_site_type_symbol
_atom_site_fract_x
_atom_site_fract_y
_atom_site_fract_z
Cs1 Cs 0.2126 0.2874 0.0000
Cs2 Cs 0.2874 0.7874 0.0000
Cs3 Cs 0.7126 0.2126 0.0000
Cs4 Cs 0.7874 0.7126 0.0000
P1 P 0.0739 0.5739 0.5000
P2 P 0.4261 0.0739 0.5000
P3 P 0.5739 0.9261 0.5000
P4 P 0.9261 0.4261 0.5000
Cl1 Cl 0.0000 0.0000 0.5000
Cl2 Cl 0.5000 0.5000 0.5000
# * total DFT energy (no corrections): -35.618 eV/cell
# * total magnetic moment: 0.51 μB per cell
# * formation energy without anion corrections: -0.687 eV per atom

5.
# Na2SiPN | Alexandria | GGA-PBE | relaxed
data_Na2SiPN
_chemical_formula_sum 'Na2 Si1 P1 N1'
_cell_length_a 5.8423
_cell_length_b 5.8423
_cell_length_c 3.3134
_cell_angle_alpha 90.00
_cell_angle_beta 90.00
_cell_angle_gamma 90.00
_symmetry_space_group_name_H-M 'P 1'
_symmetry_Int_Tables_number 1
_symmetry_space_group_name_Hall 'P 1'
loop_
_atom_site_label
_atom_site_type_symbol
_atom_site_fract_x
_atom_site_fract_y
_atom_site_fract_z
Na1 Na 0.0000 0.5000 0.0000
Na2 Na 0.5000 0.0000 0.0000
Si1 Si 0.0000 0.0000 0.0000
P1 P 0.5000 0.5000 0.5000
N1 N 0.0000 0.0000 0.5000
# * total DFT energy (no corrections): -19.733 eV/cell
# * total magnetic moment: 0.00 μB per cell
# * formation energy without anion corrections: 0.413 eV per atom

6.
# ZnIn2Cl | Alexandria | GGA-PBE | relaxed
data_ZnIn2Cl
_chemical_formula_sum 'Zn1 In2 Cl1'
_cell_length_a 5.0818
_cell_length_b 5.7958
_cell_length_c 3.3746
_cell_angle_alpha 90.00
_cell_angle_beta 90.00
_cell_angle_gamma 90.00
_symmetry_space_group_name_H-M 'P 1'
_symmetry_Int_Tables_number 1
_symmetry_space_group_name_Hall 'P 1'
loop_
_atom_site_label
_atom_site_type_symbol
_atom_site_fract_x
_atom_site_fract_y
_atom_site_fract_z
Zn1 Zn 0.0000 0.0000 0.0000
In1 In 0.0000 0.5000 0.0009
In2 In 0.5000 0.0000 0.4997
Cl1 Cl 0.5000 0.5000 0.5018
# * total DFT energy (no corrections): -9.611 eV/cell
# * total magnetic moment: 0.00 μB per cell
# * E above lowest polymorph: 7.3 meV/atom
# * formation energy without anion corrections: -0.253 eV per atom

7.
# SrMnSbTe2 | Alexandria | GGA-PBE | relaxed
data_SrMnSbTe2
_chemical_formula_sum 'Sr1 Mn1 Sb1 Te2'
_cell_length_a 6.0715
_cell_length_b 6.0715
_cell_length_c 6.0886
_cell_angle_alpha 90.00
_cell_angle_beta 90.00
_cell_angle_gamma 90.00
_symmetry_space_group_name_H-M 'P 1'
_symmetry_Int_Tables_number 1
_symmetry_space_group_name_Hall 'P 1'
loop_
_atom_site_label
_atom_site_type_symbol
_atom_site_fract_x
_atom_site_fract_y
_atom_site_fract_z
Sr1 Sr 0.0000 0.0000 0.0000
Mn1 Mn 0.5000 0.5000 0.5000
Sb1 Sb 0.0000 0.0000 0.5000
Te1 Te 0.0000 0.5000 0.0000
Te2 Te 0.5000 0.0000 0.0000
# * total DFT energy (no corrections): -17.550 eV/cell
# * total magnetic moment: 4.66 μB per cell
# * E above lowest polymorph: 1143.3 meV/atom
# * formation energy without anion corrections: 0.741 eV per atom

8.
# InTcNi | Alexandria | GGA-PBE | relaxed
data_InTcNi
_chemical_formula_sum 'In4 Tc4 Ni4'
_cell_length_a 4.1927
_cell_length_b 13.4383
_cell_length_c 3.2629
_cell_angle_alpha 90.00
_cell_angle_beta 90.00
_cell_angle_gamma 90.00
_symmetry_space_group_name_H-M 'P 1'
_symmetry_Int_Tables_number 1
_symmetry_space_group_name_Hall 'P 1'
loop_
_atom_site_label
_atom_site_type_symbol
_atom_site_fract_x
_atom_site_fract_y
_atom_site_fract_z
In1 In 0.0000 0.1701 0.0000
In2 In 0.0000 0.8299 0.0000
In3 In 0.5000 0.3299 0.0000
In4 In 0.5000 0.6701 0.0000
Tc1 Tc 0.0000 0.0000 0.5000
Tc2 Tc 0.0000 0.5000 0.0000
Tc3 Tc 0.5000 0.0000 0.0000
Tc4 Tc 0.5000 0.5000 0.5000
Ni1 Ni 0.0000 0.3456 0.5000
Ni2 Ni 0.0000 0.6544 0.5000
Ni3 Ni 0.5000 0.1544 0.5000
Ni4 Ni 0.5000 0.8456 0.5000
# * total DFT energy (no corrections): -74.177 eV/cell
# * total magnetic moment: 0.00 μB per cell
# * E above lowest polymorph: 75.5 meV/atom